Entry 1:
This record from the Alexandria database describes crystalline Ca2MgAg3Sn4 at its relaxed geometry. The functional is GGA-PBE.

Unit cell a=4.4222 b=4.4222 c=12.8284 alpha=90.00 beta=90.00 gamma=90.00
With the nearest neighbours (Å) after each atom.
Space group P-4m2 (No. 115)
Asymmetric unit:
Ca 0.0000 0.5000 0.2463 (multiplicity 2)  4 Ag 3.38, 4 Sn 3.43
Mg 0.0000 0.0000 0.5000 (multiplicity 1)  4 Sn 2.88, 4 Ag 3.13
Ag 0.0000 0.5000 0.8539 (multiplicity 2)  5 Sn 2.69-2.90
Ag 0.5000 0.5000 0.5000 (multiplicity 1)  4 Sn 2.88, 4 Mg 3.13
Sn 0.0000 0.0000 0.0000 (multiplicity 1)  4 Ag 2.90, 4 Sn 3.13
Sn 0.0000 0.5000 0.6438 (multiplicity 2)  3 Ag 2.69-2.88, 2 Mg 2.88
Sn 0.5000 0.5000 0.0000 (multiplicity 1)  4 Ag 2.90, 4 Sn 3.13

## Properties
Its energy of formation is -30.87 kJ per mole of atoms. The total moment comes out at 0.00 Bohr magnetons per cell.



Entry 2:
This record from the Alexandria database describes crystalline Ca2MgAg4Sn3 at its relaxed geometry. The functional is GGA-PBE.

Unit cell a=4.5387 b=4.5387 c=11.8949 alpha=90.00 beta=90.00 gamma=90.00
With the nearest neighbours (Å) after each atom.
Space group P-4m2 (No. 115)
Asymmetric unit:
Ca 0.0000 0.5000 0.2358 (multiplicity 2)  4 Sn 3.41, 8 Ag 3.55-3.61
Mg 0.0000 0.0000 0.5000 (multiplicity 1)  4 Ag 2.79
Ag 0.0000 0.0000 0.0000 (multiplicity 1)  4 Sn 2.80
Ag 0.0000 0.5000 0.6368 (multiplicity 2)  3 Sn 2.67-2.79, 2 Mg 2.79
Ag 0.5000 0.5000 0.0000 (multiplicity 1)  4 Sn 2.80
Sn 0.0000 0.5000 0.8614 (multiplicity 2)  5 Ag 2.67-2.80
Sn 0.5000 0.5000 0.5000 (multiplicity 1)  4 Ag 2.79

## Properties
Its energy of formation is -28.76 kJ per mole of atoms. The total moment comes out at 0.00 Bohr magnetons per cell.



Entry 3:
This record from the Alexandria database describes crystalline CaMgAgSn2 at its relaxed geometry. The functional is GGA-PBE.

Unit cell a=4.5406 b=4.5406 c=12.5073 alpha=90.00 beta=90.00 gamma=90.00
With the nearest neighbours (Å) after each atom.
Space group I-4m2 (No. 119)
Asymmetric unit:
Ca 0.0000 0.0000 0.0000 (multiplicity 2)  8 Sn 3.50, 4 Mg 3.86, 4 Ag 3.86
Mg 0.0000 0.5000 0.2500 (multiplicity 2)  4 Sn 2.85
Ag 0.0000 0.5000 0.7500 (multiplicity 2)  4 Sn 2.85
Sn 0.0000 0.0000 0.3880 (multiplicity 4)  1 Sn 2.80, 2 Mg 2.85, 2 Ag 2.85

## Properties
Its energy of formation is -33.37 kJ per mole of atoms. The total moment comes out at 0.00 Bohr magnetons per cell.